LaTm2MoO8: relaxed, PBE with a Hubbard U.

Computed properties:
VASP energy = -7.767 eV per atom
total magnetic moment = 1.52 Bohr magnetons per cell

a = 7.022 Å, b = 7.095 Å, c = 6.988 Å
α = 90.00°, β = 90.00°, γ = 90.00°
Space group Cmmm (No. 65)
Unique sites:
La 0.000 0.000 0.000 [2 per cell]
Tm 0.000 0.500 0.262 [4 per cell]
Mo 0.000 0.000 0.500 [2 per cell]
O 0.000 0.187 0.297 [8 per cell]
O 0.177 0.500 0.000 [4 per cell]
O 0.219 0.500 0.500 [4 per cell]